Computed, not measured: a PBEsol-optimized structure of SrZnPb at the meta-GGA SCAN level of DFT.

Lattice parameters (Å, degrees): 4.623 4.623 18.537 90.00 90.00 120.00
Sites, in units of the cell vectors:
Sr (0.000, 0.000, 0.000)
Sr (0.000, 0.000, 0.250)
Sr (0.000, 0.000, 0.500)
Sr (0.000, 0.000, 0.750)
Zn (0.333, 0.667, 0.132)
Zn (0.333, 0.667, 0.368)
Zn (0.667, 0.333, 0.632)
Zn (0.667, 0.333, 0.868)
Pb (0.333, 0.667, 0.620)
Pb (0.333, 0.667, 0.880)
Pb (0.667, 0.333, 0.120)
Pb (0.667, 0.333, 0.380)

Values from the calculation:
Crystal system: hexagonal
D(E_F): 3.09 states/eV per cell
Formation enthalpy at 0 K: -164.2 kJ/mol of formula units
V: 343.0 Å³/cell